Na3Dy2ScS6 GGA-PBE optimized geometry; D(E_F) = 0.00 states/eV per cell; space-group type = C2/m, No. 12; total energy = -65.95 eV per cell
1.0
-4.4666 -5.0732 0.5346
6.5849 -1.3568 -0.8784
0.1607 2.0794 6.7259
Na Dy Sc S
3 2 1 6
Cartesian
4.8176 -0.9384 2.7208 Na
-2.5387 -3.4122 3.6613 Na
1.1395 -2.1753 3.1910 Na
2.8996 -2.5961 -0.4072 Dy
-0.7812 -3.8339 0.0634 Dy
0.0000 0.0000 0.0000 Sc
-0.0306 -3.9006 5.1879 S
1.6313 -4.3818 1.2344 S
2.3096 -0.4500 1.1942 S
3.5209 -2.7064 4.7338 S
0.6476 0.0312 5.1476 S
-1.2419 -1.6443 1.6483 S



NaDySc4S8 GGA-PBE optimized geometry; D(E_F) = 0.00 states/eV per cell; space-group type = R3m, No. 160; total energy = -89.78 eV per cell
1.0
7.6901 0.0000 0.0000
3.8450 6.6598 0.0000
3.8450 2.2199 6.4519
Na Dy Sc S
1 1 4 8
Cartesian
7.6901 4.4399 5.7266 Na
3.8450 2.2199 6.3853 Dy
7.6901 4.4399 0.7731 Sc
3.8450 4.3428 3.2658 Sc
5.6835 1.1585 3.2658 Sc
2.0066 1.1585 3.2658 Sc
7.6901 6.8297 4.6644 S
9.7597 3.2450 4.6644 S
5.6205 3.2450 4.6644 S
3.8450 2.2199 1.8864 S
7.6901 2.1424 1.7129 S
5.7004 5.5886 1.7129 S
9.6797 5.5886 1.7129 S
11.5351 6.6598 4.6891 S



Na3Dy3ScS8 GGA-PBE optimized geometry; D(E_F) = 7.53 states/eV per cell; space-group type = R-3m, No. 166; total energy = -82.95 eV per cell
1.0
-3.0549 -7.1296 1.2614
7.7123 0.8005 -1.2766
-3.1110 2.5758 7.0247
Na Dy Sc S
3 3 1 8
Cartesian
0.0000 0.0000 0.0000 Na
3.8562 0.4002 -0.6383 Na
2.3287 -3.1646 -0.0076 Na
-3.0829 -2.2769 4.1431 Dy
0.7732 -1.8767 3.5048 Dy
2.3007 1.6882 2.8741 Dy
-1.5555 1.2879 3.5124 Sc
2.3353 -0.7226 1.5715 S
-0.7888 -3.0308 5.4380 S
0.9045 -4.3163 2.2726 S
0.6420 0.5630 4.7369 S
-3.1098 -4.7332 2.9373 S
4.6563 0.9798 4.0722 S
-1.5196 -1.0218 2.2807 S
3.0661 -2.7315 4.7288 S



NaDySi2S6 GGA-PBE optimized geometry; D(E_F) = 0.00 states/eV per cell; space-group type = C2/c, No. 15; total energy = -104.48 eV per cell
1.0
6.6096 -0.0973 -0.1010
1.9918 8.3174 0.3347
1.9918 0.0262 8.3241
Na Dy Si S
2 2 4 12
Cartesian
3.6442 2.6928 5.7059 Na
6.9490 5.5535 2.8519 Na
3.6442 7.3089 1.2578 Dy
6.9490 0.9374 7.3000 Dy
4.4441 6.5970 5.4589 Si
2.8444 3.0843 1.8135 Si
6.1492 1.6493 3.0989 Si
7.7489 5.1620 6.7443 Si
4.6071 8.0359 7.0118 S
2.6813 1.5858 0.3181 S
5.9861 0.2105 1.5460 S
7.9119 6.6606 8.2397 S
4.9267 7.4145 3.5908 S
2.3617 4.9814 1.0658 S
5.6665 0.8318 4.9670 S
8.2316 3.2649 7.4920 S
9.0835 5.5962 5.0539 S
4.8146 3.3546 2.7277 S
1.5098 2.6501 3.5039 S
5.7787 4.8917 5.8301 S



NaDySiS4 GGA-PBE optimized geometry; D(E_F) = 0.00 states/eV per cell; space-group type = P2_1/m, No. 11; total energy = -74.41 eV per cell
1.0
-3.8019 3.7210 3.5416
-4.7134 -4.5836 -0.2441
4.0808 -4.4720 5.1766
Na Dy Si S
2 2 2 8
Cartesian
-2.5483 -4.8514 7.3088 Na
-1.8862 -0.4833 1.1653 Na
-4.6654 -2.5447 4.8751 Dy
0.2308 -2.7899 3.5991 Dy
-3.1482 -3.9672 2.2899 Si
-1.2863 -1.3675 6.1842 Si
-3.1328 -1.8746 7.1479 S
-3.6522 -5.7458 1.2045 S
-1.3017 -3.4601 1.3262 S
-0.7823 0.4112 7.2696 S
-4.6025 -2.4638 2.1412 S
0.1680 -2.8708 6.3330 S
-2.7606 -4.4737 4.3166 S
-1.6739 -0.8610 4.1575 S



NaSm2DyS4 GGA-PBE optimized geometry; D(E_F) = 2.60 states/eV per cell; space-group type = P2/m, No. 10; total energy = -47.20 eV per cell
1.0
-0.2976 -1.2055 -3.7727
2.1915 -6.2912 1.8374
-6.8904 0.2309 0.4697
Na Sm Dy S
1 2 1 4
Cartesian
0.0000 0.0000 0.0000 Na
-3.5940 -0.4873 -1.6515 Sm
-2.3495 -3.0302 1.1536 Sm
0.9470 -3.7484 -0.9677 Dy
-1.3008 -2.1466 -1.3022 S
-3.6958 -5.1193 -0.1634 S
-4.6621 -1.4277 0.8239 S
-0.0368 -4.6327 1.4832 S



NaSm3Dy2S6 GGA-PBE optimized geometry; D(E_F) = 4.55 states/eV per cell; space-group type = C2/m, No. 12; total energy = -72.86 eV per cell
1.0
-4.8120 -0.2489 4.8912
5.4824 -4.1184 0.3509
2.9806 6.0194 1.6280
Na Sm Dy S
1 3 2 6
Cartesian
0.0000 0.0000 0.0000 Na
5.2986 -0.4794 1.9033 Sm
-1.6475 2.1315 4.9669 Sm
1.8255 0.8260 3.4351 Sm
2.0413 -2.8250 1.8686 Dy
-1.3709 -1.5424 3.3735 Dy
1.0251 1.9221 5.9303 S
1.2089 -1.8208 4.2926 S
2.6260 -0.2700 0.9399 S
4.4881 0.6204 4.4029 S
2.4422 3.4728 2.5775 S
-0.8370 1.0316 2.4672 S



NaSm2Dy3S6 GGA-PBE optimized geometry; D(E_F) = 3.43 states/eV per cell; space-group type = C2/m, No. 12; total energy = -72.88 eV per cell
1.0
-3.7851 0.7894 0.7621
1.5889 0.0877 7.8007
3.1222 7.8248 -2.7880
Na Sm Dy S
1 2 3 6
Cartesian
-1.8925 0.3947 0.3810 Na
-0.0331 5.8866 3.9273 Sm
0.9592 2.8153 1.8475 Sm
-1.0981 0.4386 4.2814 Dy
-0.7942 5.9143 0.1186 Dy
1.7203 2.7877 5.6563 Dy
2.2814 5.5260 5.6069 S
-0.5564 3.1210 4.1933 S
-1.3554 3.1760 0.1679 S
-0.2584 8.6234 -0.0263 S
1.1844 0.0785 5.8012 S
1.4824 5.5809 1.5815 S



Na3Dy2SnS6 GGA-PBE optimized geometry; D(E_F) = 4.50 states/eV per cell; space-group type = C2/m, No. 12; total energy = -59.33 eV per cell
1.0
-6.5592 2.1289 0.2724
1.6877 -5.4935 -3.8213
0.5521 -2.8568 6.4316
Na Dy Sn S
3 2 1 6
Cartesian
0.6131 -5.6736 0.0650 Na
-4.9325 -0.5478 2.8177 Na
-2.1597 -3.1107 1.4414 Na
-1.0594 -2.9544 -2.4576 Dy
-3.8120 -0.4102 -1.0913 Dy
0.0000 0.0000 0.0000 Sn
-4.6362 -3.4914 2.9644 S
-3.4916 -3.1429 -1.1820 S
0.3168 -2.7300 -0.0817 S
-1.8936 -6.0263 1.6030 S
-0.8278 -3.0785 4.0647 S
-2.4258 -0.1951 1.2797 S



Na2Dy2SnS6 GGA-PBE optimized geometry; space-group type = C2/m, No. 12; total energy = -56.08 eV per cell
1.0
-1.4748 -6.5927 0.4048
3.1919 3.0562 5.1258
-6.5606 2.6383 1.0928
Na Dy Sn S
2 2 1 6
Cartesian
-0.7011 -4.9930 1.1875 Na
2.4182 1.4565 4.3431 Na
-1.6400 1.1674 4.1026 Dy
-3.2036 -2.0656 2.5208 Dy
-3.2803 1.3192 0.5464 Sn
-3.3955 -0.7945 4.9801 S
-3.5735 2.6417 2.8185 S
-1.4480 -0.1037 1.6433 S
-5.0786 -0.4702 1.2958 S
-1.2700 -3.5399 3.8049 S
0.2350 -0.4279 5.3275 S



NaSr2DyS4 GGA-PBE optimized geometry; D(E_F) = 0.00 states/eV per cell; space-group type = P2/m, No. 10; total energy = -41.35 eV per cell
1.0
-2.7161 2.7867 -1.4294
-2.3442 -4.7609 -4.8275
-3.8485 -0.7028 5.9426
Na Sr Dy S
1 2 1 4
Cartesian
-2.5301 -0.9871 -3.1284 Na
-3.2823 1.0420 2.2566 Sr
-3.0963 -2.7318 0.5576 Sr
0.0000 0.0000 0.0000 Dy
-2.7861 0.1190 -0.4855 S
-6.1226 -2.7960 0.1713 S
-3.4938 -1.6700 3.3830 S
-2.6989 -3.7937 -2.2678 S



Na3Dy3TaS8 GGA-PBE optimized geometry; D(E_F) = 4.20 states/eV per cell; space-group type = R-3m, No. 166; total energy = -87.06 eV per cell
1.0
7.7622 0.0002 -0.0001
-3.8810 6.7208 -0.0258
-0.0001 -4.4582 6.8005
Na Dy Ta S
3 3 1 8
Cartesian
0.0000 0.0000 0.0000 Na
-1.9405 3.3604 -0.0129 Na
1.9406 3.3605 -0.0129 Na
3.8811 -2.2290 3.4002 Dy
1.9406 1.1314 3.3873 Dy
-1.9406 1.1313 3.3873 Dy
-0.0001 -2.2291 3.4002 Ta
0.0000 2.2459 1.8269 S
3.8811 0.0169 4.9477 S
3.8812 2.4160 1.9309 S
-0.0001 -0.1532 4.8437 S
5.9695 -1.2000 1.9456 S
-2.0884 3.4628 4.8290 S
1.7927 -1.2001 1.9456 S
2.0884 3.4629 4.8290 S



Na4Dy3TaS8 GGA-PBE optimized geometry; D(E_F) = 5.20 states/eV per cell; space-group type = R-3m, No. 166; total energy = -89.27 eV per cell
1.0
-1.1400 0.3062 7.6598
2.6112 -7.6066 0.6927
4.5857 5.2116 -3.4467
Na Dy Ta S
4 3 1 8
Cartesian
-0.5700 0.1531 3.8299 Na
1.7228 2.7589 2.1066 Na
0.0000 0.0000 0.0000 Na
2.2928 2.6058 -1.7234 Na
0.7356 -3.6502 4.1763 Dy
3.0284 -1.0444 2.4529 Dy
3.5984 -1.1975 -1.3770 Dy
1.3056 -3.8033 0.3464 Ta
6.1665 -0.2574 -1.1442 S
3.7434 -3.0118 0.6775 S
2.7605 0.7039 0.3827 S
5.5640 -0.0956 2.9042 S
0.4929 -1.9932 2.0016 S
3.2964 -2.7926 4.5231 S
2.3135 0.9230 4.2283 S
-0.1097 -1.8314 6.0501 S



Na4Tb3DyS8 GGA-PBE optimized geometry; D(E_F) = 0.00 states/eV per cell; space-group type = R-3m, No. 166; total energy = -86.34 eV per cell
1.0
-3.4145 4.8458 -5.3713
-6.7456 0.2567 4.5198
7.0210 1.9827 3.2822
Na Tb Dy S
4 3 1 8
Cartesian
-1.7073 2.4229 -2.6857 Na
1.8032 3.4142 -1.0446 Na
0.0000 0.0000 0.0000 Na
3.5105 0.9913 1.6411 Na
-5.0801 2.5512 -0.4258 Tb
-1.5696 3.5426 1.2153 Tb
0.1377 1.1197 3.9010 Tb
-3.3728 0.1284 2.2599 Dy
1.1872 3.3128 5.2214 S
-2.3340 2.3184 3.5753 S
0.8982 2.3378 1.5381 S
-0.5253 5.7431 2.5275 S
-2.6139 1.3421 -0.0968 S
-4.0374 4.7473 0.8926 S
-0.8052 4.7667 -1.1446 S
-4.3264 3.7724 -2.7907 S



NaTb4Dy3S8 GGA-PBE optimized geometry; D(E_F) = 8.07 states/eV per cell; space-group type = R-3m, No. 166; total energy = -97.99 eV per cell
1.0
7.8472 0.0000 0.0000
0.0000 7.8495 -0.0044
-3.9236 -3.9202 5.5529
Na Tb Dy S
1 4 3 8
Cartesian
0.0000 3.9248 -0.0022 Na
3.9236 0.0000 0.0000 Tb
1.9618 -1.9601 2.7765 Tb
0.0000 0.0000 0.0000 Tb
-1.9618 -1.9601 2.7765 Tb
3.9236 3.9248 -0.0022 Dy
1.9618 1.9646 2.7742 Dy
-1.9618 1.9646 2.7742 Dy
-1.9589 1.9587 5.5420 S
0.0000 3.9163 2.7709 S
0.0000 0.0134 2.7827 S
1.9589 1.9587 5.5420 S
1.9647 1.9706 0.0065 S
3.9236 3.9159 2.7658 S
3.9236 0.0130 2.7776 S
5.8826 1.9706 0.0065 S



NaTb4DyS8 GGA-PBE optimized geometry; D(E_F) = 0.00 states/eV per cell; space-group type = R3m, No. 160; total energy = -84.88 eV per cell
1.0
-6.3030 -5.1345 -0.2595
-2.1887 -4.0933 6.6792
-6.9199 1.8589 3.8242
Na Tb Dy S
1 4 1 8
Cartesian
-9.2364 -1.8373 5.7524 Na
-6.1741 -5.5328 4.4911 Tb
-4.5836 -1.0776 5.1796 Tb
-6.5687 -1.5799 1.8318 Tb
-3.5276 0.8974 1.9570 Tb
-6.8653 1.7930 3.8017 Dy
-8.3377 -3.0542 8.0008 S
-10.5805 -3.6218 4.2183 S
-7.1446 -0.8229 4.3598 S
-3.9875 -1.6797 2.6164 S
-7.0546 -4.3407 2.2920 S
-4.8605 -3.7855 5.9924 S
-8.2218 -6.5237 5.8540 S
-11.4605 -5.6451 7.6425 S



NaTbDy4S8 GGA-PBE optimized geometry; D(E_F) = 0.00 states/eV per cell; space-group type = R3m, No. 160; total energy = -84.81 eV per cell
1.0
-2.9447 -7.5225 0.5740
-0.0534 -3.7926 7.1556
-7.0267 -1.3164 3.8329
Na Tb Dy S
1 1 4 8
Cartesian
-7.2797 -5.3922 6.2538 Na
-6.9464 -1.3491 3.8161 Tb
-2.7500 -7.2374 5.3096 Dy
-3.5836 -2.5433 5.4184 Dy
-4.9779 -4.3419 2.2446 Dy
-3.5578 -0.7143 1.9678 Dy
-5.9307 -5.7436 8.5682 S
-7.5020 -7.7706 4.9915 S
-5.9017 -3.6825 4.6796 S
-2.7096 -3.0750 2.9330 S
-4.0616 -6.8966 3.0466 S
-2.5261 -4.9159 6.5417 S
-4.0899 -8.9107 6.8465 S
-7.3735 -9.5328 8.6415 S



NaDy4ThS8 GGA-PBE optimized geometry; D(E_F) = 3.78 states/eV per cell; space-group type = R3m, No. 160; total energy = -86.70 eV per cell
1.0
8.0758 0.0000 0.0000
4.0379 6.9939 0.0000
4.0379 2.3313 6.7312
Na Dy Th S
1 4 1 8
Cartesian
8.0758 4.6626 5.9534 Na
8.0758 4.6626 0.7753 Dy
4.0379 4.5921 3.3848 Dy
5.9958 1.2009 3.3848 Dy
2.0800 1.2009 3.3848 Dy
4.0379 2.3313 6.6668 Th
8.0758 7.1800 4.9526 S
10.2560 3.4039 4.9526 S
5.8957 3.4039 4.9526 S
4.0379 2.3313 1.9197 S
8.0758 2.2088 1.7658 S
5.9508 5.8895 1.7658 S
10.2009 5.8895 1.7658 S
12.1137 6.9939 4.8587 S



NaDy2ThS4 GGA-PBE optimized geometry; D(E_F) = 4.45 states/eV per cell; space-group type = P2/m, No. 10; total energy = -49.22 eV per cell
1.0
-3.2480 0.5896 -2.1190
-1.9795 -6.4741 1.2325
-3.7888 -0.0874 5.7830
Na Dy Th S
1 2 1 4
Cartesian
-2.8841 -3.2807 3.5078 Na
-3.7888 -0.0874 5.7830 Dy
-3.5184 0.2511 1.8320 Dy
-2.6137 -2.9423 -0.4432 Th
-4.3099 -4.9776 5.2210 S
-4.7064 -0.9943 -0.3244 S
-4.0626 -4.6456 1.3035 S
-4.9537 -1.3263 3.5930 S